Th2AlFe: optimized geometry, PBE-GGA.

E_form (eV per atom): 0.45
Polymorph energy (0 for the lowest one) (meV per atom): 693
Raw total energy (eV/atom): -6.31

```
data_Th2AlFe
_space_group_name_H-M_alt 'R -3 m'
_space_group_IT_number 166
_space_group_name_Hall '-R 3 2"'
_cell_length_a 3.3358
_cell_length_b 3.3358
_cell_length_c 30.3405
_cell_angle_alpha 90.00
_cell_angle_beta 90.00
_cell_angle_gamma 120.00
loop_
_atom_site_label
_atom_site_fract_x
_atom_site_fract_y
_atom_site_fract_z
_atom_site_occupancy
Th1 0.0000 0.0000 0.0809 1
Al1 0.0000 0.0000 0.5000 1
Fe1 0.0000 0.0000 0.0000 1
```